# 1
# KNpPdS2 (PBE, relaxed)
data_KNpPdS2
_chemical_formula_sum 'K2 Np2 Pd2 S4'
_cell_length_a 7.5878
_cell_length_b 4.8655
_cell_length_c 7.5234
_cell_angle_alpha 90.00
_cell_angle_beta 101.73
_cell_angle_gamma 90.00
_space_group_name_H-M_alt 'P 1 2/c 1'
_space_group_IT_number 13
loop_
_space_group_symop_operation_xyz
'x,y,z'
'-x,-y,-z'
'-x,y,-z+1/2'
'x,-y,z+1/2'
loop_
_atom_site_label
_atom_site_fract_x
_atom_site_fract_y
_atom_site_fract_z
K1 0.0000 0.1806 0.2500
Np1 0.5000 0.4885 0.7500
Pd1 0.5000 0.0000 0.0000
S1 0.2575 0.3129 0.9559
# calculated volume = 136 Å³/f.u.
# total magnetization = 8.0 Bohr magnetons per cell
# uncorrected energy = -6.46 eV per atom
# formation energy (no corrections) = -4.8 eV per formula unit

***

# 2
# K2Np2PdS6 (PBE, relaxed)
data_K2Np2PdS6
_chemical_formula_sum 'K4 Np4 Pd2 S12'
_cell_length_a 6.6254
_cell_length_b 11.7265
_cell_length_c 7.8730
_cell_angle_alpha 90.00
_cell_angle_beta 105.22
_cell_angle_gamma 90.00
_space_group_name_H-M_alt 'C 1 2/m 1'
_space_group_IT_number 12
loop_
_space_group_symop_operation_xyz
'x,y,z'
'-x,-y,-z'
'-x,y,-z'
'x,-y,z'
'x+1/2,y+1/2,z'
'-x+1/2,-y+1/2,-z'
'-x+1/2,y+1/2,-z'
'x+1/2,-y+1/2,z'
loop_
_atom_site_label
_atom_site_fract_x
_atom_site_fract_y
_atom_site_fract_z
K1 0.0000 0.1590 0.0000
Np1 0.0000 0.3331 0.5000
Pd1 0.0000 0.0000 0.5000
S1 0.2368 0.1734 0.6987
S2 0.2468 0.5000 0.6797
# calculated volume = 295 Å³/f.u.
# total magnetization = 12.0 Bohr magnetons per cell
# uncorrected energy = -6.37 eV per atom
# formation energy (no corrections) = -12.1 eV per formula unit

***

# 3
# K2NpPdS4 (PBE, relaxed)
data_K2NpPdS4
_chemical_formula_sum 'K8 Np4 Pd4 S16'
_cell_length_a 10.9598
_cell_length_b 10.8618
_cell_length_c 8.1823
_cell_angle_alpha 90.00
_cell_angle_beta 119.61
_cell_angle_gamma 90.00
_space_group_name_H-M_alt 'C 1 2/c 1'
_space_group_IT_number 15
loop_
_space_group_symop_operation_xyz
'x,y,z'
'-x,-y,-z'
'-x,y,-z+1/2'
'x,-y,z+1/2'
'x+1/2,y+1/2,z'
'-x+1/2,-y+1/2,-z'
'-x+1/2,y+1/2,-z+1/2'
'x+1/2,-y+1/2,z+1/2'
loop_
_atom_site_label
_atom_site_fract_x
_atom_site_fract_y
_atom_site_fract_z
K1 0.0000 0.0000 0.0000
K2 0.2500 0.2500 0.0000
Np1 0.0000 0.5000 0.0000
Pd1 0.2500 0.2500 0.5000
S1 0.0630 0.2677 0.5713
S2 0.1899 0.4594 0.3783
# calculated volume = 212 Å³/f.u.
# total magnetization = 12.0 Bohr magnetons per cell
# uncorrected energy = -5.60 eV per atom
# formation energy (no corrections) = -7.9 eV per formula unit

***

# 4
# K3Np3PdS8 (PBE, relaxed)
data_K3Np3PdS8
_chemical_formula_sum 'K6 Np6 Pd2 S16'
_cell_length_a 13.4590
_cell_length_b 7.9526
_cell_length_c 8.6931
_cell_angle_alpha 90.00
_cell_angle_beta 120.62
_cell_angle_gamma 90.00
_space_group_name_H-M_alt 'C 1 2/m 1'
_space_group_IT_number 12
loop_
_space_group_symop_operation_xyz
'x,y,z'
'-x,-y,-z'
'-x,y,-z'
'x,-y,z'
'x+1/2,y+1/2,z'
'-x+1/2,-y+1/2,-z'
'-x+1/2,y+1/2,-z'
'x+1/2,-y+1/2,z'
loop_
_atom_site_label
_atom_site_fract_x
_atom_site_fract_y
_atom_site_fract_z
K1 0.0000 0.0000 0.0000
K2 0.2500 0.2500 0.0000
Np1 0.0000 0.5000 0.5000
Np2 0.2500 0.2500 0.5000
Pd1 0.0000 0.0000 0.5000
S1 0.0209 0.2601 0.3007
S2 0.2157 0.0000 0.6810
S3 0.2350 0.5000 0.7037
# calculated volume = 400 Å³/f.u.
# total magnetization = 18.9 Bohr magnetons per cell
# uncorrected energy = -6.53 eV per atom
# formation energy (no corrections) = -17.6 eV per formula unit

***

# 5
# KNpPdS4 (PBE, relaxed)
data_KNpPdS4
_chemical_formula_sum 'K2 Np2 Pd2 S8'
_cell_length_a 6.8680
_cell_length_b 5.3947
_cell_length_c 9.1779
_cell_angle_alpha 90.00
_cell_angle_beta 108.27
_cell_angle_gamma 90.00
_space_group_name_H-M_alt 'P 1 21/m 1'
_space_group_IT_number 11
loop_
_space_group_symop_operation_xyz
'x,y,z'
'-x,-y,-z'
'-x,y+1/2,-z'
'x,-y+1/2,z'
loop_
_atom_site_label
_atom_site_fract_x
_atom_site_fract_y
_atom_site_fract_z
K1 0.2409 0.2500 0.4520
Np1 0.2231 0.2500 0.9448
Pd1 0.2783 0.7500 0.1943
S1 0.0293 0.7500 0.3260
S2 0.0808 0.7500 0.9290
S3 0.4622 0.5419 0.8019
# calculated volume = 161 Å³/f.u.
# total magnetization = 4.0 Bohr magnetons per cell
# uncorrected energy = -5.95 eV per atom
# formation energy (no corrections) = -5.9 eV per formula unit

***

# 6
# K4Np3PdS8 (PBE, relaxed)
data_K4Np3PdS8
_chemical_formula_sum 'K12 Np9 Pd3 S24'
_cell_length_a 7.9972
_cell_length_b 7.9972
_cell_length_c 22.0899
_cell_angle_alpha 90.00
_cell_angle_beta 90.00
_cell_angle_gamma 120.00
_space_group_name_H-M_alt 'R -3 m'
_space_group_IT_number 166
_space_group_name_Hall '-R 3 2"'
loop_
_atom_site_label
_atom_site_fract_x
_atom_site_fract_y
_atom_site_fract_z
K1 0.0000 0.0000 0.0000
K2 0.0000 0.5000 0.0000
Np1 0.0000 0.5000 0.5000
Pd1 0.0000 0.0000 0.5000
S1 0.0000 0.0000 0.2345
S2 0.0068 0.5034 0.7672
# calculated volume = 408 Å³/f.u.
# total magnetization = 26.9 Bohr magnetons per cell
# uncorrected energy = -6.29 eV per atom
# formation energy (no corrections) = -19.3 eV per formula unit

***

# 7
# KNp3Pd2S6 (PBE, relaxed)
data_KNp3Pd2S6
_chemical_formula_sum 'K2 Np6 Pd4 S12'
_cell_length_a 16.5310
_cell_length_b 4.1834
_cell_length_c 7.4498
_cell_angle_alpha 90.00
_cell_angle_beta 95.34
_cell_angle_gamma 90.00
_space_group_name_H-M_alt 'C 1 2/m 1'
_space_group_IT_number 12
loop_
_space_group_symop_operation_xyz
'x,y,z'
'-x,-y,-z'
'-x,y,-z'
'x,-y,z'
'x+1/2,y+1/2,z'
'-x+1/2,-y+1/2,-z'
'-x+1/2,y+1/2,-z'
'x+1/2,-y+1/2,z'
loop_
_atom_site_label
_atom_site_fract_x
_atom_site_fract_y
_atom_site_fract_z
K1 0.0000 0.0000 0.0000
Np1 0.0000 0.0000 0.5000
Np2 0.2050 0.5000 0.7499
Pd1 0.1237 0.5000 0.3308
S1 0.0289 0.5000 0.7250
S2 0.1634 0.0000 0.4708
S3 0.1769 0.0000 0.9674
# calculated volume = 256 Å³/f.u.
# total magnetization = 20.0 Bohr magnetons per cell
# uncorrected energy = -7.32 eV per atom
# formation energy (no corrections) = -12.8 eV per formula unit

***

# 8
# K3NpPd2Se6 (PBE, relaxed)
data_K3NpPd2Se6
_chemical_formula_sum 'K6 Np2 Pd4 Se12'
_cell_length_a 6.8371
_cell_length_b 11.8193
_cell_length_c 8.0812
_cell_angle_alpha 90.00
_cell_angle_beta 106.46
_cell_angle_gamma 90.00
_space_group_name_H-M_alt 'C 1 2/m 1'
_space_group_IT_number 12
loop_
_space_group_symop_operation_xyz
'x,y,z'
'-x,-y,-z'
'-x,y,-z'
'x,-y,z'
'x+1/2,y+1/2,z'
'-x+1/2,-y+1/2,-z'
'-x+1/2,y+1/2,-z'
'x+1/2,-y+1/2,z'
loop_
_atom_site_label
_atom_site_fract_x
_atom_site_fract_y
_atom_site_fract_z
K1 0.0000 0.0000 0.0000
K2 0.0000 0.3362 0.0000
Np1 0.0000 0.5000 0.5000
Pd1 0.0000 0.1669 0.5000
Se1 0.2150 0.0000 0.6902
Se2 0.2376 0.3257 0.6919
# calculated volume = 313 Å³/f.u.
# total magnetization = 4.4 Bohr magnetons per cell
# uncorrected energy = -4.75 eV per atom
# formation energy (no corrections) = -9.4 eV per formula unit

***

Copy entry 3 word for word.
# K2NpPdS4 (PBE, relaxed)
data_K2NpPdS4
_chemical_formula_sum 'K8 Np4 Pd4 S16'
_cell_length_a 10.9598
_cell_length_b 10.8618
_cell_length_c 8.1823
_cell_angle_alpha 90.00
_cell_angle_beta 119.61
_cell_angle_gamma 90.00
_space_group_name_H-M_alt 'C 1 2/c 1'
_space_group_IT_number 15
loop_
_space_group_symop_operation_xyz
'x,y,z'
'-x,-y,-z'
'-x,y,-z+1/2'
'x,-y,z+1/2'
'x+1/2,y+1/2,z'
'-x+1/2,-y+1/2,-z'
'-x+1/2,y+1/2,-z+1/2'
'x+1/2,-y+1/2,z+1/2'
loop_
_atom_site_label
_atom_site_fract_x
_atom_site_fract_y
_atom_site_fract_z
K1 0.0000 0.0000 0.0000
K2 0.2500 0.2500 0.0000
Np1 0.0000 0.5000 0.0000
Pd1 0.2500 0.2500 0.5000
S1 0.0630 0.2677 0.5713
S2 0.1899 0.4594 0.3783
# calculated volume = 212 Å³/f.u.
# total magnetization = 12.0 Bohr magnetons per cell
# uncorrected energy = -5.60 eV per atom
# formation energy (no corrections) = -7.9 eV per formula unit

***

> What is the formation energy (no corrections) in the first record?

-4.8 eV per formula unit